TiMo2Rh2 | PBE | optimized geometry

**Magnetization**: 0.707 μB per cell
**E**: -8.88 eV/atom
**Calculated formation energy**: -0.14 eV/f.u.
**Space group**: No. 127

Cell: 7.637 7.637 2.751 Å, 90.00 90.00 90.00°
Sites, in units of the cell vectors:
Mo 0.379 0.879 0.000
Mo 0.879 0.621 0.000
Mo 0.621 0.121 0.000
Mo 0.121 0.379 0.000
Rh 0.175 0.675 0.500
Rh 0.675 0.825 0.500
Rh 0.825 0.325 0.500
Rh 0.325 0.175 0.500
Ti 0.000 0.000 0.000
Ti 0.500 0.500 0.000